Record 1
This record from Alexandria describes crystalline KRuRh at its relaxed geometry. The functional is GGA-PBE.

abc: 3.1464 3.1464 13.1264
angles: 90.00 90.00 90.00
Positions (direct):
K 0.0000 0.0000 0.0000
K 0.5000 0.5000 0.5000
Ru 0.0000 0.0000 0.7076
Ru 0.5000 0.5000 0.2076
Rh 0.0000 0.0000 0.2948
Rh 0.5000 0.5000 0.7948

DOS at the Fermi energy	6.9	states/eV/cell
total magnetization	0.0	μB per formula unit
energy relative to the elements	0.717	eV/atom
calculated total energy	-0.19078	Ha/atom
symmetry	No. 107

=====

Record 2
This record from Alexandria describes crystalline LiPbAu2 at its relaxed geometry. The functional is GGA-PBE.

abc: 5.9970 6.7321 4.0163
angles: 90.00 90.00 90.00
Positions (direct):
Li 0.0000 0.0000 0.0000
Li 0.5000 0.5000 0.0000
Pb 0.0000 0.5000 0.0000
Pb 0.5000 0.0000 0.0000
Au 0.2500 0.2500 0.5000
Au 0.2500 0.7500 0.5000
Au 0.7500 0.2500 0.5000
Au 0.7500 0.7500 0.5000

DOS at the Fermi energy	2.0	states/eV/cell
total magnetization	0.0	μB per formula unit
energy relative to the elements	-0.250	eV/atom
calculated total energy	-0.12106	Ha/atom
symmetry	No. 65

=====

Record 3
This record from Alexandria describes crystalline Ho3Ni9P2Ir at its relaxed geometry. The functional is GGA-PBE.

abc: 6.7585 6.7585 6.1546
angles: 90.00 90.00 120.00
Positions (direct):
Ho 0.0000 0.0000 0.0000
Ho 0.3333 0.6667 0.6597
Ho 0.6667 0.3333 0.3403
Ni 0.0000 0.5000 0.0000
Ni 0.1802 0.3605 0.3207
Ni 0.1802 0.8198 0.3207
Ni 0.3605 0.1802 0.6793
Ni 0.5000 0.0000 0.0000
Ni 0.5000 0.5000 0.0000
Ni 0.6395 0.8198 0.3207
Ni 0.8198 0.1802 0.6793
Ni 0.8198 0.6395 0.6793
P 0.3333 0.6667 0.1329
P 0.6667 0.3333 0.8671
Ir 0.0000 0.0000 0.5000

DOS at the Fermi energy	15.7	states/eV/cell
total magnetization	1.4	μB per formula unit
energy relative to the elements	-0.263	eV/atom
calculated total energy	-0.21902	Ha/atom
symmetry	No. 164

=====

Record 4
This record from Alexandria describes crystalline ZnSe3 at its relaxed geometry. The functional is GGA-PBE.

abc: 3.5820 3.5839 9.1733
angles: 90.00 90.00 90.00
Positions (direct):
Zn 0.0000 0.0000 0.0000
Se 0.0000 0.5000 0.5332
Se 0.5000 0.0000 0.4475
Se 0.5000 0.5000 0.9985

DOS at the Fermi energy	1.0	states/eV/cell
total magnetization	0.0	μB per formula unit
raw formation energy	-0.0035	eV per atom
calculated total energy	-0.10787	Ha/atom
symmetry	No. 25

=====

Record 5
This record from Alexandria describes crystalline BaCd2InSn2 at its relaxed geometry. The functional is GGA-PBE.

abc: 7.3260 10.2543 5.2202
angles: 90.00 90.00 90.00
Positions (direct):
Ba 0.0000 0.0000 0.0000
Ba 0.5000 0.5000 0.5000
Cd 0.1902 0.2044 0.5000
Cd 0.3098 0.7044 0.0000
Cd 0.6902 0.2956 0.0000
Cd 0.8098 0.7956 0.5000
In 0.0000 0.5000 0.0000
In 0.5000 0.0000 0.5000
Sn 0.2104 0.8029 0.5000
Sn 0.2896 0.3029 0.0000
Sn 0.7104 0.6971 0.0000
Sn 0.7896 0.1971 0.5000

DOS at the Fermi energy	4.1	states/eV/cell
total magnetization	0.0	μB per formula unit
energy relative to the elements	-0.199	eV/atom
calculated total energy	-0.09610	Ha/atom
symmetry	No. 58

=====

Record 6
This record from Alexandria describes crystalline KMn2NiCl8 at its relaxed geometry. The functional is GGA-PBE.

abc: 6.3874 6.3874 8.8252
angles: 90.00 90.00 120.00
Positions (direct):
K 0.0000 0.0000 0.0000
Mn 0.3333 0.6667 0.7175
Mn 0.6667 0.3333 0.2825
Ni 0.0000 0.0000 0.5000
Cl 0.0091 0.7049 0.3403
Cl 0.2951 0.3042 0.3403
Cl 0.3042 0.0091 0.6597
Cl 0.3333 0.6667 0.9715
Cl 0.6667 0.3333 0.0285
Cl 0.6958 0.9909 0.3403
Cl 0.7049 0.6958 0.6597
Cl 0.9909 0.2951 0.6597

DOS at the Fermi energy	6.7	states/eV/cell
total magnetization	11.0	μB per formula unit
raw formation energy	-0.9982	eV per atom
calculated total energy	-0.15915	Ha/atom
symmetry	No. 147